# CaGa3Co

An optimized crystal structure of CaGa3Co (PBE-GGA, the Alexandria database).

Cell lengths 4.585, 4.585, 4.585 Å; angles 90.00, 90.00, 90.00 degrees
Space group Pm-3m (No. 221)
Inequivalent atoms, fractional coordinates:
Ca1 0.000 0.000 0.000 x1
Ga1 0.000 0.500 0.500 x3
Co1 0.500 0.500 0.500 x1

Calculated values
**E_tot**: -19.8 eV/cell
**E_form**: -0.330 eV per atom

---

# CaGaCo

An optimized crystal structure of CaGaCo (PBE-GGA, the Alexandria database).

Cell lengths 6.595, 8.448, 4.282 Å; angles 90.00, 90.00, 90.00 degrees
Space group Pbcm (No. 57)
Inequivalent atoms, fractional coordinates:
Ca1 0.186 0.089 0.250 x4
Ga1 0.334 0.644 0.250 x4
Co1 0.466 0.121 0.750 x4

Calculated values
**E_tot**: -50.2 eV/cell
**E_form**: -0.141 eV per atom

---

# Ca2Ga6Co

An optimized crystal structure of Ca2Ga6Co (PBE-GGA, the Alexandria database).

Cell lengths 10.267, 5.926, 5.563 Å; angles 90.00, 90.02, 90.00 degrees
Space group C2/m (No. 12)
Inequivalent atoms, fractional coordinates:
Ca1 0.166 0.000 0.170 x4
Ga1 0.085 0.246 0.687 x8
Ga2 0.170 0.500 0.313 x4
Co1 0.000 0.500 0.000 x2

Calculated values
**E_tot**: -65.3 eV/cell
**E_form**: -0.377 eV per atom

---

# CaGaCoGe

An optimized crystal structure of CaGaCoGe (PBE-GGA, the Alexandria database).

Cell lengths 4.1025, 4.1025, 15.9753 Å; angles 90.00, 90.00, 120.00 degrees
Space group R3m (No. 160, hexagonal axes)
Inequivalent atoms, fractional coordinates:
Ca1 0.0000 0.0000 0.0000 x3
Ga1 0.0000 0.0000 0.4544 x3
Co1 0.0000 0.0000 0.8206 x3
Ge1 0.0000 0.0000 0.2021 x3

Calculated values
**E_tot**: -54.4 eV/cell
**E_form**: -0.342 eV per atom

---

# Ca2Ga2CoH4

An optimized crystal structure of Ca2Ga2CoH4 (PBE-GGA, the Alexandria database).

Cell lengths 5.947, 5.947, 6.895 Å; angles 90.00, 90.00, 90.00 degrees
Space group I4/mmm (No. 139)
Inequivalent atoms, fractional coordinates:
Ca1 0.000 0.500 0.250 x4
Ga1 0.000 0.000 0.166 x4
Co1 0.000 0.000 0.500 x2
H1 0.189 0.189 0.500 x8

Calculated values
**E_tot**: -63.9 eV/cell

---

# CaInGa2Co

An optimized crystal structure of CaInGa2Co (PBE-GGA, the Alexandria database).

Cell lengths 4.620, 4.620, 4.927 Å; angles 90.00, 90.00, 90.00 degrees
Space group P4/mmm (No. 123)
Inequivalent atoms, fractional coordinates:
Ca1 0.000 0.000 0.000 x1
In1 0.500 0.500 0.000 x1
Ga1 0.000 0.500 0.500 x2
Co1 0.500 0.500 0.500 x1

Calculated values
**E_tot**: -19.1 eV/cell
**E_form**: -0.244 eV per atom

---

# Ca2InGaCo

An optimized crystal structure of Ca2InGaCo (PBE-GGA, the Alexandria database).

Cell lengths 5.645, 5.645, 4.383 Å; angles 90.00, 90.00, 90.00 degrees
Space group P4/mmm (No. 123)
Inequivalent atoms, fractional coordinates:
Ca1 0.000 0.500 0.000 x2
In1 0.000 0.000 0.500 x1
Ga1 0.500 0.500 0.000 x1
Co1 0.500 0.500 0.500 x1

Calculated values
**E_tot**: -16.3 eV/cell
**E_form**: 0.107 eV per atom

---

# Ca2Ga4CoIr3

An optimized crystal structure of Ca2Ga4CoIr3 (PBE-GGA, the Alexandria database).

Cell lengths 4.189, 4.189, 10.382 Å; angles 90.00, 90.00, 90.00 degrees
Space group P-4m2 (No. 115)
Inequivalent atoms, fractional coordinates:
Ca1 0.000 0.500 0.238 x2
Ga1 0.000 0.000 0.500 x1
Ga2 0.000 0.500 0.877 x2
Ga3 0.500 0.500 0.500 x1
Co1 0.500 0.500 0.000 x1
Ir1 0.000 0.000 0.000 x1
Ir2 0.000 0.500 0.635 x2

Calculated values
**E_tot**: -54.8 eV/cell
**E_form**: -0.503 eV per atom